An optimized crystal structure of HfUCrO6. Source: Alexandria via LeMat-Bulk, functional PBE+U.

```
data_HfUCrO6
_chemical_formula_sum 'Hf2 U2 Cr2 O12'
_space_group_name_H-M_alt 'P 1'
_space_group_IT_number 1
_space_group_name_Hall 'P 1'
_cell_length_a 5.497
_cell_length_b 5.497
_cell_length_c 8.764
_cell_angle_alpha 90.00
_cell_angle_beta 90.00
_cell_angle_gamma 120.00
loop_
_atom_site_label
_atom_site_type_symbol
_atom_site_fract_x
_atom_site_fract_y
_atom_site_fract_z
Hf1 Hf 0.333 0.667 0.250
Hf2 Hf 0.667 0.333 0.750
U1 U 0.667 0.333 0.250
U2 U 0.333 0.667 0.750
Cr1 Cr 0.000 0.000 0.000
Cr2 Cr 0.000 0.000 0.500
O1 O 0.664 0.670 0.129
O2 O 0.006 0.336 0.129
O3 O 0.336 0.006 0.629
O4 O 0.994 0.664 0.871
O5 O 0.330 0.336 0.371
O6 O 0.006 0.670 0.371
O7 O 0.670 0.006 0.871
O8 O 0.664 0.994 0.371
O9 O 0.994 0.330 0.629
O10 O 0.330 0.994 0.129
O11 O 0.670 0.664 0.629
O12 O 0.336 0.330 0.871
```

## Properties
As for the final energy: -9.27 eV/atom. The density comes out at 8.2 g/cm³.